An optimized crystal structure of Mg2InAg. Source: Alexandria, functional PBE.

Cell: 5.402 5.402 5.402 Å, 132.54 132.54 69.37°
Positions (direct):
Mg1 0.000 0.000 0.000
Mg2 0.750 0.250 0.500
In1 0.500 0.500 0.000
Ag1 0.250 0.750 0.500

Calculated values
* E: -2.30 eV/atom
* SG: I-4m2, No. 119
* mass density: 5.365 Mg/m³